Record 1
First-principles (PBE) data for an optimized crystal structure of NpGaOs, as listed in OQMD.

The structure in POSCAR format:
```
NpGaOs
1.0
0.0000 3.1451 3.1451
3.1451 0.0000 3.1451
3.1451 3.1451 0.0000
Np Ga Os
1 1 1
direct
0.0000 0.0000 0.0000
0.5000 0.5000 0.5000
0.7500 0.7500 0.7500
```

## Properties
Final energy = -8.889 eV/atom
Total magnetization = 3.4 μB per cell
Crystal system = cubic

***

Record 2
First-principles (PBE) data for an optimized crystal structure of NpGaOs, as listed in OQMD.

The structure in POSCAR format:
```
NpGaOs
1.0
0.0000 3.1877 3.1877
3.1877 0.0000 3.1877
3.1877 3.1877 0.0000
Np Ga Os
1 1 1
direct
0.0000 0.0000 0.0000
0.7500 0.7500 0.7500
0.2500 0.2500 0.2500
```

## Properties
Final energy = -8.203 eV/atom
Total magnetization = 3.0 μB per cell
Crystal system = cubic

***

Record 3
First-principles (PBE) data for an optimized crystal structure of Np2Ga8Pd, as listed in OQMD.

The structure in POSCAR format:
```
Np2Ga8Pd
1.0
4.2999 0.0000 0.0000
0.0000 4.2999 0.0000
0.0000 0.0000 11.2088
Np Ga Pd
2 8 1
direct
0.0000 0.0000 0.1892
0.0000 0.0000 0.8108
0.0000 0.5000 0.0000
0.0000 0.5000 0.3717
0.0000 0.5000 0.6283
0.5000 0.0000 0.0000
0.5000 0.0000 0.3717
0.5000 0.0000 0.6283
0.5000 0.5000 0.1907
0.5000 0.5000 0.8093
0.0000 0.0000 0.5000
```

## Properties
Final energy = -5.328 eV/atom
Total magnetization = 7.8 μB per cell
Crystal system = tetragonal

***

Record 4
First-principles (PBE) data for an optimized crystal structure of NpGaPd, as listed in OQMD.

The structure in POSCAR format:
```
NpGaPd
1.0
0.0000 3.1986 3.1986
3.1986 0.0000 3.1986
3.1986 3.1986 0.0000
Np Ga Pd
1 1 1
direct
0.0000 0.0000 0.0000
0.5000 0.5000 0.5000
0.7500 0.7500 0.7500
```

## Properties
Final energy = -7.106 eV/atom
Total magnetization = 4.3 μB per cell
Crystal system = cubic

***

Record 5
First-principles (PBE) data for an optimized crystal structure of PmNpGa, as listed in OQMD.

The structure in POSCAR format:
```
PmNpGa
1.0
0.0000 3.4803 3.4803
3.4803 0.0000 3.4803
3.4803 3.4803 0.0000
Pm Np Ga
1 1 1
direct
0.0000 0.0000 0.0000
0.2500 0.2500 0.2500
0.7500 0.7500 0.7500
```

## Properties
Final energy = -6.186 eV/atom
Total magnetization = 5.0 μB per cell
Crystal system = cubic

***

Record 6
First-principles (PBE) data for an optimized crystal structure of PrNpGa, as listed in OQMD.

The structure in POSCAR format:
```
PrNpGa
1.0
0.0000 3.5082 3.5082
3.5082 0.0000 3.5082
3.5082 3.5082 0.0000
Pr Np Ga
1 1 1
direct
0.0000 0.0000 0.0000
0.2500 0.2500 0.2500
0.7500 0.7500 0.7500
```

## Properties
Final energy = -6.183 eV/atom
Total magnetization = 5.0 μB per cell
Crystal system = cubic

***

Record 7
First-principles (PBE) data for an optimized crystal structure of PuNpGa, as listed in OQMD.

The structure in POSCAR format:
```
PuNpGa
1.0
0.0000 3.3146 3.3146
3.3146 0.0000 3.3146
3.3146 3.3146 0.0000
Pu Np Ga
1 1 1
direct
0.0000 0.0000 0.0000
0.2500 0.2500 0.2500
0.7500 0.7500 0.7500
```

## Properties
Final energy = -9.696 eV/atom
Total magnetization = 10.0 μB per cell
Crystal system = cubic

***

Record 8
First-principles (PBE) data for an optimized crystal structure of RbNpGa, as listed in OQMD.

The structure in POSCAR format:
```
RbNpGa
1.0
0.0000 3.8155 3.8155
3.8155 0.0000 3.8155
3.8155 3.8155 0.0000
Rb Np Ga
1 1 1
direct
0.0000 0.0000 0.0000
0.5000 0.5000 0.5000
0.7500 0.7500 0.7500
```

## Properties
Final energy = -4.585 eV/atom
Total magnetization = 5.0 μB per cell
Crystal system = cubic

***

Record 9
First-principles (PBE) data for an optimized crystal structure of NpScGa, as listed in OQMD.

The structure in POSCAR format:
```
NpScGa
1.0
0.0000 3.3308 3.3308
3.3308 0.0000 3.3308
3.3308 3.3308 0.0000
Np Sc Ga
1 1 1
direct
0.0000 0.0000 0.0000
0.2500 0.2500 0.2500
0.7500 0.7500 0.7500
```

## Properties
Total magnetization = 5.0 μB per cell
Crystal system = cubic
Energy above the most stable polymorph in this dataset = 451 meV per atom

***

Record 10
First-principles (PBE) data for an optimized crystal structure of NpScGa, as listed in OQMD.

The structure in POSCAR format:
```
NpScGa
1.0
0.0000 3.3870 3.3870
3.3870 0.0000 3.3870
3.3870 3.3870 0.0000
Np Sc Ga
1 1 1
direct
0.0000 0.0000 0.0000
0.5000 0.5000 0.5000
0.2500 0.2500 0.2500
```

## Properties
Total magnetization = 5.2 μB per cell
Crystal system = cubic
Energy above the most stable polymorph in this dataset = 0 meV per atom

***

Record 11
First-principles (PBE) data for an optimized crystal structure of NpGaSi, as listed in OQMD.

The structure in POSCAR format:
```
NpGaSi
1.0
0.0000 3.1665 3.1665
3.1665 0.0000 3.1665
3.1665 3.1665 0.0000
Np Ga Si
1 1 1
direct
0.0000 0.0000 0.0000
0.5000 0.5000 0.5000
0.7500 0.7500 0.7500
```

## Properties
Final energy = -6.994 eV/atom
Total magnetization = 4.5 μB per cell
Crystal system = cubic

***

Record 12
First-principles (PBE) data for an optimized crystal structure of SmNpGa, as listed in OQMD.

The structure in POSCAR format:
```
SmNpGa
1.0
0.0000 3.5131 3.5131
3.5131 0.0000 3.5131
3.5131 3.5131 0.0000
Sm Np Ga
1 1 1
direct
0.0000 0.0000 0.0000
0.5000 0.5000 0.5000
0.7500 0.7500 0.7500
```

## Properties
Total magnetization = 5.1 μB per cell
Crystal system = cubic
Energy above the most stable polymorph in this dataset = 0 meV per atom